No. 1
The following is a DFT calculation (PBE) of an optimized crystal structure of Ca4CuRh.

Structure (extended XYZ):
```
12
Lattice="4.653 -6.809 0.000 4.653 6.809 0.000 -3.594 0.000 5.394" Properties=species:S:1:pos:R:3 pbc="T T T"
Ca 0.259 4.446 4.886
Ca 0.126 0.828 3.927
Ca 3.655 4.446 3.205
Ca 1.923 -0.828 1.230
Ca 3.788 0.828 4.164
Ca 2.057 -4.446 2.189
Ca 5.585 -0.828 1.467
Ca 5.452 -4.446 0.508
Cu 3.754 1.867 1.348
Cu 1.957 -1.867 4.045
Rh 1.957 6.796 4.045
Rh 3.754 -6.796 1.348
```

energy relative to the elements = -243 meV per atom
symmetry = C2/c, No. 15

No. 2
The following is a DFT calculation (PBE) of an optimized crystal structure of LiLuGeRu.

Structure (extended XYZ):
```
4
Lattice="0.000 3.189 3.189 3.189 0.000 3.189 3.189 3.189 0.000" Properties=species:S:1:pos:R:3 pbc="T T T"
Li 0.000 0.000 0.000
Lu 4.783 4.783 4.783
Ge 1.594 1.594 1.594
Ru 3.189 3.189 3.189
```

energy relative to the elements = -399 meV per atom
symmetry = F-43m, No. 216

No. 3
The following is a DFT calculation (PBE) of an optimized crystal structure of Pm7Pb3N2.

Structure (extended XYZ):
```
12
Lattice="2.510 -12.692 0.000 2.510 12.692 0.000 0.000 0.000 4.902" Properties=species:S:1:pos:R:3 pbc="T T T"
Pm 0.000 0.000 0.000
Pm 2.510 10.260 2.451
Pm 2.510 7.670 0.000
Pm 2.510 2.530 0.000
Pm 2.510 -2.530 0.000
Pm 2.510 -7.670 0.000
Pm 2.510 -10.260 2.451
Pb 2.510 4.865 2.451
Pb 2.510 0.000 2.451
Pb 2.510 -4.865 2.451
N 2.510 10.126 0.000
N 2.510 -10.126 0.000
```

symmetry = Cmmm, No. 65
energy relative to the elements, uncorrected = -0.833 eV per atom

No. 4
The following is a DFT calculation (PBE) of an optimized crystal structure of Sr2AcAl2O7.

Structure (extended XYZ):
```
12
Lattice="-1.925 1.925 10.218 1.925 -1.925 10.218 1.925 1.925 -10.218" Properties=species:S:1:pos:R:3 pbc="T T T"
Sr 0.000 0.000 3.776
Sr 0.000 0.000 16.659
Ac 0.000 0.000 0.000
Al 0.000 0.000 8.191
Al 0.000 0.000 12.245
O 1.925 0.000 1.916
O 0.000 0.000 6.290
O 1.925 0.000 8.302
O 0.000 0.000 10.218
O 0.000 1.925 1.916
O 0.000 0.000 14.146
O 0.000 1.925 8.302
```

symmetry = I4/mmm, No. 139
energy relative to the elements, uncorrected = -2.923 eV per atom

No. 5
The following is a DFT calculation (PBE) of an optimized crystal structure of La2CoAg.

Structure (extended XYZ):
```
4
Lattice="-1.743 2.330 6.005 1.743 -2.330 6.005 1.743 2.330 -6.005" Properties=species:S:1:pos:R:3 pbc="T T T"
La 0.000 0.000 0.000
La 0.000 2.330 2.361
Co 0.000 0.000 5.986
Ag 1.743 0.000 3.764
```

energy relative to the elements = -25 meV per atom
symmetry = Imm2, No. 44

No. 6
The following is a DFT calculation (PBE) of an optimized crystal structure of Mn2TcRu.

Structure (extended XYZ):
```
4
Lattice="-1.884 1.884 3.737 1.884 -1.884 3.737 1.884 1.884 -3.737" Properties=species:S:1:pos:R:3 pbc="T T T"
Mn 0.000 0.000 0.000
Mn 0.000 1.884 1.868
Tc 0.000 0.000 3.737
Ru 1.884 0.000 1.868
```

energy relative to the elements = 19 meV per atom
symmetry = I-4m2, No. 119

No. 7
The following is a DFT calculation (PBE) of an optimized crystal structure of LaAl2IrF.

Structure (extended XYZ):
```
5
Lattice="4.215 0.000 0.000 0.000 4.215 0.000 0.000 0.000 5.534" Properties=species:S:1:pos:R:3 pbc="T T T"
La 0.000 0.000 0.000
Al 0.000 2.107 2.767
Al 2.107 0.000 2.767
Ir 2.107 2.107 0.000
F 2.107 2.107 2.767
```

symmetry = P4/mmm, No. 123
energy relative to the elements, uncorrected = -0.389 eV per atom

No. 8
The following is a DFT calculation (PBE) of an optimized crystal structure of TlGeAu.

Structure (extended XYZ):
```
6
Lattice="4.083 -5.187 0.000 4.083 5.187 0.000 -2.160 0.000 3.610" Properties=species:S:1:pos:R:3 pbc="T T T"
Tl 2.462 3.902 2.708
Tl 3.543 -3.902 0.903
Ge 3.543 0.704 0.903
Ge 2.462 -0.704 2.708
Au 2.041 2.593 0.000
Au 0.961 -2.593 1.805
```

energy relative to the elements = 21 meV per atom
symmetry = C2/c, No. 15

Calculated density of states at the Fermi level (states/eV/f.u.), listed in the same order as above: 3.405 3.176 6.488 9.071 4.225 4.271 3.080 1.082